(1)
Computed, not measured: an optimized crystal structure of Al2RuSe at the PBE level of DFT.

Its formation energy (no corrections) is -54 meV per atom. The value obtained for the electronic total energy is -5.12 eV/atom.

It has space group R3m (No. 160, hexagonal axes), with a = 3.0919 Å, b = 3.0919 Å, c = 24.1141 Å, α = 90.00°, β = 90.00° and γ = 120.00°. Symmetry generates all atoms from Al at (0.0000, 0.0000, 0.0000), Al at (0.0000, 0.0000, 0.2428), Ru at (0.0000, 0.0000, 0.4977) and Se at (0.0000, 0.0000, 0.7565).

(2)
Computed, not measured: an optimized crystal structure of AlRu2Se at the PBE level of DFT.

Its formation energy (no corrections) is -42 meV per atom. The value obtained for the electronic total energy is -6.49 eV/atom. For the excess energy over the best structure of this formula in the dataset, the calculation gives 175.2 meV/atom.

It has space group Imm2 (No. 44), with a = 3.0055 Å, b = 4.1879 Å, c = 9.4963 Å, α = 90.00°, β = 90.00° and γ = 90.00°. Symmetry generates all atoms from Al at (0.0000, 0.0000, 0.0000), Ru at (0.0000, 0.0000, 0.5273), Ru at (0.0000, 0.5000, 0.7608) and Se at (0.0000, 0.5000, 0.2356).

(3)
Computed, not measured: an optimized crystal structure of AlRu2Se at the PBE level of DFT.

Its formation energy (no corrections) is 174 meV per atom. The value obtained for the electronic total energy is -6.27 eV/atom. For the excess energy over the best structure of this formula in the dataset, the calculation gives 391.8 meV/atom.

It has space group Cmmm (No. 65), with a = 2.9366 Å, b = 4.9000 Å, c = 8.4237 Å, α = 90.00°, β = 90.00° and γ = 90.00°. Symmetry generates all atoms from Al at (0.0000, 0.0000, 0.0000), Ru at (0.0000, 0.5000, 0.2410) and Se at (0.0000, 0.0000, 0.5000).

(4)
Computed, not measured: an optimized crystal structure of Al2Ru2Se at the PBE level of DFT.

Its formation energy (no corrections) is 180 meV per atom. The value obtained for the electronic total energy is -5.72 eV/atom. For the excess energy over the best structure of this formula in the dataset, the calculation gives 365.5 meV/atom.

It has space group I4/mmm (No. 139), with a = 3.5622 Å, b = 3.5622 Å, c = 13.6263 Å, α = 90.00°, β = 90.00° and γ = 90.00°. Symmetry generates all atoms from Al at (0.0000, 0.0000, 0.1062), Ru at (0.0000, 0.5000, 0.2500) and Se at (0.0000, 0.0000, 0.5000).

(5)
Computed, not measured: an optimized crystal structure of AlRuSe2 at the PBE level of DFT.

Its formation energy (no corrections) is 416 meV per atom. The value obtained for the electronic total energy is -4.58 eV/atom.

It has space group F-43m (No. 216), with a = 6.4585 Å, b = 6.4585 Å, c = 6.4585 Å, α = 90.00°, β = 90.00° and γ = 90.00°. Symmetry generates all atoms from Al at (0.0000, 0.0000, 0.0000), Ru at (0.2500, 0.2500, 0.7500), Se at (0.0000, 0.0000, 0.5000) and Se at (0.2500, 0.2500, 0.2500).

(6)
Computed, not measured: an optimized crystal structure of AlRu2Se at the PBE level of DFT.

Its formation energy (no corrections) is -59 meV per atom. The value obtained for the electronic total energy is -6.50 eV/atom. For the excess energy over the best structure of this formula in the dataset, the calculation gives 158.3 meV/atom.

It has space group Fm-3m (No. 225), with a = 6.1288 Å, b = 6.1288 Å, c = 6.1288 Å, α = 90.00°, β = 90.00° and γ = 90.00°. Symmetry generates all atoms from Al at (0.0000, 0.0000, 0.0000), Ru at (0.2500, 0.2500, 0.2500) and Se at (0.0000, 0.0000, 0.5000).

(7)
Computed, not measured: an optimized crystal structure of AlRuSe2 at the PBE level of DFT.

Its formation energy (no corrections) is -86 meV per atom. The value obtained for the electronic total energy is -5.08 eV/atom.

It has space group Cmmm (No. 65), with a = 4.8801 Å, b = 8.8936 Å, c = 3.7759 Å, α = 90.00°, β = 90.00° and γ = 90.00°. Symmetry generates all atoms from Al at (0.0000, 0.0000, 0.0000), Ru at (0.0000, 0.5000, 0.0000) and Se at (0.0000, 0.3182, 0.5000).

(8)
Computed, not measured: an optimized crystal structure of AlRuSe2 at the PBE level of DFT.

Its formation energy (no corrections) is -199 meV per atom. The value obtained for the electronic total energy is -5.20 eV/atom.

It has space group Cm (No. 8), with a = 8.7327 Å, b = 3.0328 Å, c = 6.7996 Å, α = 90.00°, β = 103.77° and γ = 90.00°. Symmetry generates all atoms from Al at (0.0000, 0.0000, 0.0000), Ru at (0.2559, 0.0000, 0.8966), Se at (0.0721, 0.5000, 0.6715) and Se at (0.2388, 0.5000, 0.2041).